Entry from the Alexandria database: crystalline KHoNpO6 at its relaxed geometry (GGA-PBE).

Summary:
VASP energy (eV for the cell shown): -140.96
Fermi-level density of states (states/eV/atom): 0.54

Unit cell a=5.3480 b=5.3480 c=10.4875 alpha=90.00 beta=90.00 gamma=90.00
Element x y z (fractional)
K 0.5000 0.5000 0.4979
K 0.0000 0.0000 0.9979
Ho 0.5000 0.5000 0.1667
Ho 0.0000 0.0000 0.6667
Np 0.5000 0.5000 0.8350
Np 0.0000 0.0000 0.3350
O 0.1642 0.8358 0.4842
O 0.8358 0.1642 0.4842
O 0.3358 0.3358 0.9842
O 0.6642 0.6642 0.9842
O 0.2049 0.7951 0.2108
O 0.7951 0.2049 0.2108
O 0.2951 0.2951 0.7108
O 0.7049 0.7049 0.7108
O 0.7681 0.2319 0.8051
O 0.2319 0.7681 0.8051
O 0.7319 0.7319 0.3051
O 0.2681 0.2681 0.3051